Computed, not measured: an optimized crystal structure of Zn2Cu3Pd8 at the PBE level of DFT.

Values from the calculation:
ΔE_f: -0.055 eV/atom
Total energy: -4.3916 eV per atom

a = 7.291 Å, b = 4.146 Å, c = 7.316 Å
α = 90.00°, β = 110.78°, γ = 90.00°
Space group P2/m (No. 10)
Symmetry-distinct sites (fractional):
Zn (0.249, 0.000, 0.252) (multiplicity 2)
Cu (0.258, 0.500, 0.759) (multiplicity 2)
Cu (0.500, 0.000, 0.000) (multiplicity 1)
Pd (0.118, 0.000, 0.873) (multiplicity 2)
Pd (0.120, 0.500, 0.380) (multiplicity 2)
Pd (0.365, 0.500, 0.133) (multiplicity 2)
Pd (0.371, 0.000, 0.619) (multiplicity 2)